# 1
Here is a relaxed structure of Nb7Ga2Ge2 from the Alexandria database. Energies are from PBE-GGA.

Structure (POSCAR):
```
Nb7Ga2Ge2
1.0
-5.7651 1.0390 -2.4367
0.6256 -5.1767 -1.0247
-1.3817 -2.5384 5.6480
Nb Ga Ge
7 2 2
Cartesian
-1.0169 -2.7710 2.8741
-2.9961 -3.3789 -1.8145
-5.5043 -3.9051 -0.6875
-3.5250 -3.2972 4.0012
0.0000 0.0000 0.0000
-3.1023 -4.5858 0.8630
-3.4189 -2.0903 1.3236
-5.5445 -3.8172 2.1196
-0.9766 -2.8589 0.0671
-4.5936 -0.7669 -0.6727
-1.9275 -5.9092 2.8594
```

Calculated values
Mass density   7.7 g/cm³
Space group   C2/m (12)
DFT formation energy   66 meV per atom


# 2
Here is a relaxed structure of Ca6Cd5Pd from the Alexandria database. Energies are from PBE-GGA.

Structure (POSCAR):
```
Ca6Cd5Pd
1.0
5.2803 0.0022 -1.0948
-0.0033 7.4857 -0.0008
-0.9753 0.0005 8.4527
Ca Pd Cd
6 1 5
Cartesian
3.7785 5.6680 4.8375
3.7802 1.8220 4.8379
2.6394 1.7732 -0.5476
1.6624 5.7152 7.9047
0.5216 5.6663 2.5192
0.5233 1.8204 2.5196
0.0000 0.0000 0.0000
3.1928 3.7445 2.1339
1.0942 0.0010 5.1615
-0.0016 3.7428 -0.0004
3.2076 7.4873 2.1956
1.1089 3.7439 5.2232
```

Calculated values
Mass density   4.6 g/cm³
Space group   P2/m (10)
DFT formation energy   -392 meV per atom


# 3
Here is a relaxed structure of CaAgTe2 from the Alexandria database. Energies are from PBE-GGA.

Structure (POSCAR):
```
CaAgTe2
1.0
-3.3384 1.6907 -4.1981
2.5069 -2.8389 -4.1574
-2.4869 -1.6384 4.7706
Ca Te Ag
1 2 1
Cartesian
-0.1979 -2.5256 -1.7822
-0.8035 -1.1095 -8.0744
-0.4437 -0.6127 -4.4587
-3.1205 -0.2608 -1.8026
```

Calculated values
Mass density   6.0 g/cm³
Formation energy without anion corrections   -0.59 eV/atom
Space group   Immm (71)


# 4
Here is a relaxed structure of RbOs2Pd from the Alexandria database. Energies are from PBE-GGA.

Structure (POSCAR):
```
RbOs2Pd
1.0
-1.8471 -3.9279 -1.7471
-3.8896 -1.7949 1.8821
-4.0337 0.1622 -2.3654
Os Rb Pd
2 1 1
Cartesian
-2.4426 -1.3902 -0.5576
-7.3278 -4.1705 -1.6728
0.0000 0.0000 0.0000
-4.8852 -2.7803 -1.1152
```

Calculated values
Mass density   13.1 g/cm³
Space group   Fm-3m (225)
DFT formation energy   2168 meV per atom


# 5
Here is a relaxed structure of Pa2GaSi from the Alexandria database. Energies are from PBE-GGA.

Structure (POSCAR):
```
Pa2GaSi
1.0
-3.0049 3.5751 -0.0984
-2.7447 0.6422 -3.7248
-5.2192 -1.3161 0.6900
Si Pa Ga
1 2 1
Cartesian
-5.4844 1.4506 -1.5666
-8.1895 2.2064 -2.3719
-2.7792 0.6948 -0.7613
0.0000 0.0000 0.0000
```

Calculated values
Mass density   10.4 g/cm³
Formation energy without anion corrections   -0.21 eV/atom
Space group   R-3m (166)


# 6
Here is a relaxed structure of Hf2TeCl from the Alexandria database. Energies are from PBE-GGA.

Structure (POSCAR):
```
Hf2TeCl
1.0
-0.9171 -4.5917 0.6329
4.2326 -1.0926 -1.7934
5.2277 -2.4285 7.5935
Te Hf Cl
2 4 2
Cartesian
0.0000 0.0000 0.0000
2.9842 -4.9312 3.8230
1.2868 -3.4937 2.0532
3.8138 -1.9837 0.8731
5.2746 -3.9815 5.2131
6.7115 -6.7666 4.7265
1.6578 -2.8421 -0.5802
5.5591 -3.1816 2.6099
```

Calculated values
Mass density   8.7 g/cm³
Formation energy without anion corrections   -0.14 eV/atom
Space group   I-42d (122)


# 7
Here is a relaxed structure of Sm4DyHo6 from the Alexandria database. Energies are from PBE-GGA.

Structure (POSCAR):
```
Sm4DyHo6
1.0
7.4445 -2.9370 -5.4823
-5.1524 7.9930 1.9152
-1.8932 2.9370 9.0494
Sm Dy Ho
4 1 6
Cartesian
-3.3045 5.1263 1.3423
0.2467 2.8666 1.9188
-1.2751 1.9781 5.7846
-2.3139 8.9519 7.4012
0.0000 0.0000 0.0000
-5.0013 7.7585 5.6030
-3.8370 5.9525 8.1515
-1.2256 4.9775 4.0874
1.1461 2.5280 -1.7835
3.4171 0.2344 -1.3949
2.7756 0.0000 1.7835
```

Calculated values
Mass density   7.9 g/cm³
Space group   I-42m (121)
DFT formation energy   303 meV per atom


# 8
Here is a relaxed structure of Cd2In2Te5 from the Alexandria database. Energies are from PBE-GGA.

Structure (POSCAR):
```
Cd2In2Te5
1.0
-0.6532 4.3694 -0.4665
-0.5718 -0.8828 -7.4671
-9.9563 -3.2998 4.1872
Cd In Te
2 2 5
Cartesian
-2.0775 1.7621 -1.7400
-9.1037 -1.5752 -2.0065
-8.1930 1.2413 1.9451
-2.9882 -1.0544 -5.6915
-4.0686 1.6964 0.4323
-7.1126 -1.5094 -4.1787
-8.4066 0.9186 -0.7780
-2.7746 -0.7317 -2.9684
0.0000 0.0000 0.0000
```

Calculated values
Mass density   5.1 g/cm³
Formation energy without anion corrections   -0.24 eV/atom
Space group   C2/m (12)


| no. | E (eV/atom) |
| --- | --- |
| 1 | -7.73 |
| 2 | -2.21 |
| 3 | -3.37 |
| 4 | -4.99 |
| 5 | -7.07 |
| 6 | -6.36 |
| 7 | -4.33 |
| 8 | -2.79 |